# Ta2CrMo | Alexandria via LeMat-Bulk | PBE-GGA | relaxed
# Total moment, μB/atom: 0.000
# E_form, kcal/mol of atoms: 0.6
# Energy, Ha/atom: -0.405
data_Ta2CrMo
_chemical_formula_sum 'Ta2 Cr1 Mo1'
_symmetry_space_group_name_H-M 'P m m m'
_symmetry_Int_Tables_number 47
_symmetry_space_group_name_Hall '-P 2 2'
_cell_length_a 3.198
_cell_length_b 4.363
_cell_length_c 4.597
_cell_angle_alpha 90.00
_cell_angle_beta 90.00
_cell_angle_gamma 90.00
loop_
_atom_site_label
_atom_site_type_symbol
_atom_site_fract_x
_atom_site_fract_y
_atom_site_fract_z
_atom_site_occupancy
Ta1 Ta 0.000 0.000 0.000 1
Ta2 Ta 0.500 0.000 0.500 1
Cr1 Cr 0.000 0.500 0.500 1
Mo1 Mo 0.500 0.500 0.000 1

***

# Pr2Ga5Ir3 | Alexandria via LeMat-Bulk | PBE-GGA | relaxed
# Total moment, μB/atom: 0.000
# E_form, kcal/mol of atoms: -17.0
# Energy, Ha/atom: -0.215
data_Pr2Ga5Ir3
_chemical_formula_sum 'Pr8 Ga20 Ir12'
_symmetry_space_group_name_H-M 'I b a m'
_symmetry_Int_Tables_number 72
_symmetry_space_group_name_Hall '-I 2 2c'
_cell_length_a 10.153
_cell_length_b 12.809
_cell_length_c 5.842
_cell_angle_alpha 90.00
_cell_angle_beta 90.00
_cell_angle_gamma 90.00
loop_
_atom_site_label
_atom_site_type_symbol
_atom_site_fract_x
_atom_site_fract_y
_atom_site_fract_z
_atom_site_occupancy
Pr1 Pr 0.229 0.137 0.000 1
Ga1 Ga 0.000 0.000 0.250 1
Ga2 Ga 0.000 0.293 0.250 1
Ga3 Ga 0.170 0.409 0.000 1
Ir1 Ir 0.000 0.500 0.250 1
Ir2 Ir 0.096 0.148 0.500 1